Crystalline ZrRh2Pb at its relaxed geometry, computed with PBE.

Calculated values
total magnetization = 0.0 μB per formula unit
ΔH_f (0 K) = 0.01 eV per atom

Unit cell a=3.6454 b=3.6454 c=21.9929 alpha=90.00 beta=90.00 gamma=120.00
With the nearest neighbours (Å) after each atom.
Sites, in units of the cell vectors:
Zr 0.0000 0.0000 0.0000  3 Rh 2.56
Zr 0.3333 0.6667 0.6667  3 Rh 2.56
Zr 0.6667 0.3333 0.3333  3 Rh 2.56
Rh 0.0000 0.0000 0.2668  3 Zr 2.56, 3 Rh 2.62
Rh 0.0000 0.0000 0.5292  3 Rh 2.62, 3 Pb 2.76
Rh 0.3333 0.6667 0.1959  3 Rh 2.62, 3 Pb 2.76
Rh 0.3333 0.6667 0.9335  3 Zr 2.56, 3 Rh 2.62
Rh 0.6667 0.3333 0.6001  3 Zr 2.56, 3 Rh 2.62
Rh 0.6667 0.3333 0.8626  3 Rh 2.62, 3 Pb 2.76
Pb 0.0000 0.0000 0.7815  3 Rh 2.76
Pb 0.3333 0.6667 0.4482  3 Rh 2.76
Pb 0.6667 0.3333 0.1148  3 Rh 2.76

=====

Crystalline ZrRhPb at its relaxed geometry, computed with PBE.

Calculated values
total magnetization = 0.0 μB per formula unit
ΔH_f (0 K) = -0.32 eV per atom

Unit cell a=4.7107 b=4.7107 c=3.1176 alpha=90.00 beta=90.00 gamma=120.00
With the nearest neighbours (Å) after each atom.
Sites, in units of the cell vectors:
Zr 0.0000 0.0000 0.0000  2 Zr 3.12, 6 Pb 3.13, 6 Rh 3.13
Rh 0.3333 0.6667 0.5000  3 Pb 2.72
Pb 0.6667 0.3333 0.5000  3 Rh 2.72

=====

Crystalline ZrRh2Pb at its relaxed geometry, computed with PBE.

Calculated values
total magnetization = 0.0 μB per formula unit
ΔH_f (0 K) = -0.41 eV per atom

Unit cell a=9.7415 b=3.5125 c=4.5116 alpha=90.00 beta=105.10 gamma=90.00
With the nearest neighbours (Å) after each atom.
Sites, in units of the cell vectors:
Zr 0.0000 0.0000 0.0000  7 Rh 2.75-2.89
Zr 0.5000 0.5000 0.0000  7 Rh 2.75-2.89
Rh 0.2747 0.0000 0.8806  3 Zr 2.75-2.86, 4 Pb 2.85-2.88, 2 Rh 3.06-3.07
Rh 0.4958 0.0000 0.5071  3 Pb 2.78-2.85, 4 Zr 2.83-2.89, 2 Rh 3.06-3.07
Rh 0.7747 0.5000 0.8806  3 Zr 2.75-2.86, 4 Pb 2.85-2.88, 2 Rh 3.06-3.07
Rh 0.9958 0.5000 0.5071  3 Pb 2.78-2.85, 4 Zr 2.83-2.89, 2 Rh 3.06-3.07
Pb 0.2576 0.5000 0.3671  7 Rh 2.78-2.88
Pb 0.7576 0.0000 0.3671  7 Rh 2.78-2.88

=====

Crystalline Zr2Rh2Pb at its relaxed geometry, computed with PBE.

Calculated values
total magnetization = 0.0 μB per formula unit
ΔH_f (0 K) = -0.41 eV per atom

Unit cell a=4.5873 b=4.5873 c=10.4344 alpha=90.00 beta=90.00 gamma=90.00
With the nearest neighbours (Å) after each atom.
Sites, in units of the cell vectors:
Zr 0.0000 0.5000 0.2500  4 Rh 2.66
Zr 0.0000 0.5000 0.7500  4 Rh 2.66
Zr 0.5000 0.0000 0.2500  4 Rh 2.66
Zr 0.5000 0.0000 0.7500  4 Rh 2.66
Rh 0.0000 0.0000 0.1207  1 Rh 2.52, 4 Zr 2.66
Rh 0.0000 0.0000 0.8793  1 Rh 2.52, 4 Zr 2.66
Rh 0.5000 0.5000 0.3793  1 Rh 2.52, 4 Zr 2.66
Rh 0.5000 0.5000 0.6207  1 Rh 2.52, 4 Zr 2.66
Pb 0.0000 0.0000 0.5000  8 Zr 3.47, 8 Rh 3.48
Pb 0.5000 0.5000 0.0000  8 Zr 3.47, 8 Rh 3.48

=====

Crystalline ZrRh2Pb at its relaxed geometry, computed with PBE.

Calculated values
total magnetization = 0.0 μB per formula unit
ΔH_f (0 K) = -0.40 eV per atom

Unit cell a=4.3129 b=3.5063 c=10.0853 alpha=90.00 beta=90.00 gamma=90.00
With the nearest neighbours (Å) after each atom.
Sites, in units of the cell vectors:
Zr 0.0000 0.0000 0.0000  7 Rh 2.78-2.88
Zr 0.0000 0.5000 0.5000  7 Rh 2.78-2.88
Rh 0.0000 0.0000 0.2856  2 Rh 2.77, 3 Zr 2.78-2.88, 4 Pb 2.85
Rh 0.0000 0.5000 0.7856  2 Rh 2.77, 3 Zr 2.78-2.88, 4 Pb 2.85
Rh 0.5000 0.0000 0.4576  3 Pb 2.69-2.93, 2 Rh 2.77, 4 Zr 2.81
Rh 0.5000 0.5000 0.9576  3 Pb 2.69-2.93, 2 Rh 2.77, 4 Zr 2.81
Pb 0.5000 0.0000 0.7247  7 Rh 2.69-2.93
Pb 0.5000 0.5000 0.2247  7 Rh 2.69-2.93

=====

Crystalline ZrRh2Pb at its relaxed geometry, computed with PBE.

Calculated values
total magnetization = 0.0 μB per formula unit
ΔH_f (0 K) = -0.39 eV per atom

Unit cell a=4.3898 b=4.3898 c=3.7846 alpha=90.00 beta=90.00 gamma=90.00
With the nearest neighbours (Å) after each atom.
Sites, in units of the cell vectors:
Zr 0.0000 0.0000 0.0000  8 Rh 2.90, 4 Pb 3.10
Rh 0.0000 0.5000 0.5000  4 Zr 2.90, 4 Pb 2.90, 4 Rh 3.10
Rh 0.5000 0.0000 0.5000  4 Zr 2.90, 4 Pb 2.90, 4 Rh 3.10
Pb 0.5000 0.5000 0.0000  8 Rh 2.90, 4 Zr 3.10

=====

Crystalline ZrRhPb2 at its relaxed geometry, computed with PBE.

Calculated values
total magnetization = 0.1 μB per formula unit
ΔH_f (0 K) = 0.09 eV per atom

Unit cell a=7.1135 b=7.1135 c=7.1135 alpha=90.00 beta=90.00 gamma=90.00
With the nearest neighbours (Å) after each atom.
Sites, in units of the cell vectors:
Zr 0.0000 0.0000 0.0000  4 Rh 3.08, 4 Pb 3.08
Zr 0.0000 0.5000 0.5000  4 Rh 3.08, 4 Pb 3.08
Zr 0.5000 0.0000 0.5000  4 Rh 3.08, 4 Pb 3.08
Zr 0.5000 0.5000 0.0000  4 Rh 3.08, 4 Pb 3.08
Rh 0.2500 0.2500 0.2500  4 Zr 3.08, 4 Pb 3.08
Rh 0.2500 0.7500 0.7500  4 Zr 3.08, 4 Pb 3.08
Rh 0.7500 0.2500 0.7500  4 Zr 3.08, 4 Pb 3.08
Rh 0.7500 0.7500 0.2500  4 Zr 3.08, 4 Pb 3.08
Pb 0.0000 0.0000 0.5000  4 Pb 3.08, 4 Rh 3.08
Pb 0.0000 0.5000 0.0000  4 Pb 3.08, 4 Rh 3.08
Pb 0.2500 0.2500 0.7500  4 Zr 3.08, 4 Pb 3.08
Pb 0.2500 0.7500 0.2500  4 Zr 3.08, 4 Pb 3.08
Pb 0.5000 0.0000 0.0000  4 Pb 3.08, 4 Rh 3.08
Pb 0.5000 0.5000 0.5000  4 Pb 3.08, 4 Rh 3.08
Pb 0.7500 0.2500 0.2500  4 Zr 3.08, 4 Pb 3.08
Pb 0.7500 0.7500 0.7500  4 Zr 3.08, 4 Pb 3.08

=====

Crystalline ZrRhPb at its relaxed geometry, computed with PBE.

Calculated values
total magnetization = 0.0 μB per formula unit
ΔH_f (0 K) = -0.40 eV per atom

Unit cell a=9.1132 b=4.4582 c=6.5091 alpha=90.00 beta=90.00 gamma=90.00
With the nearest neighbours (Å) after each atom.
Sites, in units of the cell vectors:
Zr 0.1478 0.2500 0.2324  4 Rh 2.73-2.80
Zr 0.3522 0.7500 0.7324  4 Rh 2.73-2.80
Zr 0.6478 0.2500 0.2676  4 Rh 2.73-2.80
Zr 0.8522 0.7500 0.7676  4 Rh 2.73-2.80
Rh 0.1151 0.7500 0.9895  4 Zr 2.73-2.80, 4 Pb 2.84-2.91
Rh 0.3849 0.2500 0.4895  4 Zr 2.73-2.80, 4 Pb 2.84-2.91
Rh 0.6151 0.7500 0.5105  4 Zr 2.73-2.80, 4 Pb 2.84-2.91
Rh 0.8849 0.2500 0.0105  4 Zr 2.73-2.80, 4 Pb 2.84-2.91
Pb 0.1056 0.2500 0.7024  4 Rh 2.84-2.91, 3 Zr 3.08-3.17
Pb 0.3944 0.7500 0.2024  4 Rh 2.84-2.91, 3 Zr 3.08-3.17
Pb 0.6056 0.2500 0.7976  4 Rh 2.84-2.91, 3 Zr 3.08-3.17
Pb 0.8944 0.7500 0.2976  4 Rh 2.84-2.91, 3 Zr 3.08-3.17